No. 1
The following is a PBE calculation of crystalline CeDy2Zn at its relaxed geometry, from the Alexandria database.

Values from the calculation:
offset from the most stable computed form = 8.6 kJ/mol of atoms
V = 110.2 Å³/f.u.
N(E_F) = 1.4819 states/eV/atom
total magnetic moment = 2.17 Bohr magnetons per cell
ΔE_f = -30.9 meV/atom
calculated total energy = -49.607 eV/cell

abc: 3.5154 3.5154 30.8782
angles: 90.00 90.00 120.00
With the nearest neighbours (Å) after each atom.
Space group R-3m (No. 166, hexagonal axes)
Unique sites:
Ce1 0.0000 0.0000 0.0000 [3 per cell]  6 Ce 3.52, 6 Dy 3.52
Dy1 0.0000 0.0000 0.2404 [6 per cell]  3 Zn 3.05
Zn1 0.0000 0.0000 0.5000 [3 per cell]  6 Dy 3.05

No. 2
The following is a PBE calculation of crystalline PmAlZnPt3 at its relaxed geometry, from the Alexandria database.

Values from the calculation:
V = 117.2 Å³/f.u.
N(E_F) = 0.4977 states/eV/atom
total magnetic moment = 0.00 Bohr magnetons per cell
ΔE_f = -718.0 meV/atom
calculated total energy = -128.789 eV/cell

abc: 6.8693 11.9664 5.7027
angles: 90.00 90.00 90.00
With the nearest neighbours (Å) after each atom.
Space group Cmcm (No. 63)
Unique sites:
Pm1 0.0000 0.2069 0.2500 [4 per cell]  1 Zn 3.00, 2 Al 3.02, 6 Pt 3.17-3.19
Al1 0.0000 0.1237 0.7500 [4 per cell]  5 Pt 2.38-2.50
Zn1 0.0000 0.4579 0.2500 [4 per cell]  5 Pt 2.52-2.63
Pt1 0.0000 0.3226 0.7500 [4 per cell]  1 Al 2.38, 1 Zn 2.63
Pt2 0.2072 0.0000 0.0000 [8 per cell]  2 Al 2.50, 2 Zn 2.52